# 1
Computed, not measured: an optimized crystal structure of KFe2CoI8 at the PBE-GGA level of DFT.

a = 11.679 Å, b = 7.988 Å, c = 10.234 Å
α = 90.00°, β = 95.71°, γ = 90.00°
Space group C2/m (No. 12)
Inequivalent atoms, fractional coordinates:
K (0.000, 0.000, 0.000) [2 per cell]
Fe (0.122, 0.500, 0.288) [4 per cell]
Co (0.000, 0.000, 0.500) [2 per cell]
I (0.012, 0.242, 0.697) [8 per cell]
I (0.194, 0.500, 0.062) [4 per cell]
I (0.232, 0.000, 0.507) [4 per cell]

Theoretical density in g/cm³: 4.3
Energy relative to the elements, uncorrected in eV per atom: -0.31
Total DFT energy (no corrections) in eV/atom: -3.44

=====

# 2
Computed, not measured: an optimized crystal structure of Sr2ZrPaO6 at the PBE-GGA level of DFT.

a = 5.970 Å, b = 6.087 Å, c = 10.369 Å
α = 90.00°, β = 124.99°, γ = 90.00°
Space group P2_1/c (No. 14)
Inequivalent atoms, fractional coordinates:
Sr (0.240, 0.041, 0.250) [4 per cell]
Zr (0.000, 0.000, 0.500) [2 per cell]
Pa (0.500, 0.000, 0.000) [2 per cell]
O (0.147, 0.214, 0.949) [4 per cell]
O (0.239, 0.700, 0.952) [4 per cell]
O (0.336, 0.035, 0.742) [4 per cell]

Theoretical density in g/cm³: 6.4
Energy relative to the elements, uncorrected in eV per atom: -3.22
Total DFT energy (no corrections) in eV/atom: -8.34

=====

# 3
Computed, not measured: an optimized crystal structure of LaV2As2 at the PBE-GGA level of DFT.

a = 3.827 Å, b = 3.827 Å, c = 13.129 Å
α = 90.00°, β = 90.00°, γ = 90.00°
Space group I4/mmm (No. 139)
Inequivalent atoms, fractional coordinates:
La (0.000, 0.000, 0.000) [2 per cell]
V (0.000, 0.500, 0.250) [4 per cell]
As (0.000, 0.000, 0.374) [4 per cell]

Theoretical density in g/cm³: 6.7
Excess energy over the best structure of this formula in the dataset in meV per atom: 0
Formation energy from the elements in meV per atom: -814.6
Total DFT energy (no corrections) in eV/atom: -7.31

=====

# 4
Computed, not measured: an optimized crystal structure of La2ScPBr at the PBE-GGA level of DFT.

a = 5.723 Å, b = 5.723 Å, c = 4.796 Å
α = 90.00°, β = 90.00°, γ = 90.00°
Space group P4/mmm (No. 123)
Inequivalent atoms, fractional coordinates:
La (0.000, 0.500, 0.000) [2 per cell]
Sc (0.000, 0.000, 0.000) [1 per cell]
P (0.000, 0.000, 0.500) [1 per cell]
Br (0.500, 0.500, 0.500) [1 per cell]

Theoretical density in g/cm³: 4.6
Energy relative to the elements, uncorrected in eV per atom: -0.29
Total DFT energy (no corrections) in eV/atom: -4.94

=====

# 5
Computed, not measured: an optimized crystal structure of LaEr3Ga3 at the PBE-GGA level of DFT.

a = 9.0645 Å, b = 9.0645 Å, c = 16.3629 Å
α = 90.00°, β = 90.00°, γ = 120.00°
Space group R-3 (No. 148, hexagonal axes)
Inequivalent atoms, fractional coordinates:
La (0.0000, 0.0000, 0.1805) [6 per cell]
Er (0.0035, 0.7609, 0.5899) [18 per cell]
Ga (0.0078, 0.4000, 0.5723) [18 per cell]

Theoretical density in g/cm³: 7.3
Formation energy from the elements in meV per atom: -337.9
Total DFT energy (no corrections) in eV/atom: -4.29

=====

# 6
Computed, not measured: an optimized crystal structure of La2NdPd8 at the PBE-GGA level of DFT.

a = 13.445 Å, b = 4.698 Å, c = 8.326 Å
α = 90.00°, β = 122.10°, γ = 90.00°
Space group C2/m (No. 12)
Inequivalent atoms, fractional coordinates:
La (0.174, 0.000, 0.131) [4 per cell]
Nd (0.000, 0.500, 0.500) [2 per cell]
Pd (0.056, 0.500, 0.893) [4 per cell]
Pd (0.060, 0.000, 0.340) [4 per cell]
Pd (0.166, 0.000, 0.751) [4 per cell]
Pd (0.191, 0.500, 0.407) [4 per cell]

Theoretical density in g/cm³: 9.5
Formation energy from the elements in meV per atom: -667.7
Total DFT energy (no corrections) in eV/atom: -5.77

=====

# 7
Computed, not measured: an optimized crystal structure of Nd6Al2Rh at the PBE-GGA level of DFT.

a = 6.219 Å, b = 9.148 Å, c = 10.256 Å
α = 90.00°, β = 115.87°, γ = 90.00°
Space group P2_1/c (No. 14)
Inequivalent atoms, fractional coordinates:
Nd (0.071, 0.170, 0.478) [4 per cell]
Nd (0.351, 0.687, 0.449) [4 per cell]
Nd (0.379, 0.036, 0.271) [4 per cell]
Al (0.140, 0.101, 0.786) [4 per cell]
Rh (0.000, 0.000, 0.000) [2 per cell]

Theoretical density in g/cm³: 6.5
Formation energy from the elements in meV per atom: -257.8
Total DFT energy (no corrections) in eV/atom: -5.08

=====

# 8
Computed, not measured: an optimized crystal structure of Mg2Hg2F at the PBE-GGA level of DFT.

a = 6.249 Å, b = 6.249 Å, c = 5.081 Å
α = 90.00°, β = 90.00°, γ = 90.00°
Space group P4/mbm (No. 127)
Inequivalent atoms, fractional coordinates:
Mg (0.177, 0.323, 0.000) [4 per cell]
Hg (0.165, 0.665, 0.500) [4 per cell]
F (0.000, 0.000, 0.000) [2 per cell]

Theoretical density in g/cm³: 7.8
Energy relative to the elements, uncorrected in eV per atom: -0.88
Total DFT energy (no corrections) in eV/atom: -2.01

=====

# 9
Computed, not measured: an optimized crystal structure of Nd3ScP4 at the PBE-GGA level of DFT.

a = 7.050 Å, b = 8.161 Å, c = 7.060 Å
α = 90.00°, β = 109.53°, γ = 90.00°
Space group P2/c (No. 13)
Inequivalent atoms, fractional coordinates:
Nd (0.000, 0.123, 0.250) [2 per cell]
Nd (0.000, 0.372, 0.750) [2 per cell]
Nd (0.500, 0.372, 0.250) [2 per cell]
Sc (0.500, 0.123, 0.750) [2 per cell]
P (0.257, 0.367, 0.509) [4 per cell]
P (0.267, 0.116, 0.999) [4 per cell]

Theoretical density in g/cm³: 5.2
Formation energy from the elements in meV per atom: -1477.1
Total DFT energy (no corrections) in eV/atom: -6.76

=====

# 10
Computed, not measured: an optimized crystal structure of TbYSb at the PBE-GGA level of DFT.

a = 4.484 Å, b = 4.484 Å, c = 8.505 Å
α = 90.00°, β = 90.00°, γ = 90.00°
Space group P4/nmm (No. 129, origin choice 2)
Inequivalent atoms, fractional coordinates:
Tb (0.250, 0.750, 0.000) [2 per cell]
Y (0.250, 0.250, 0.352) [2 per cell]
Sb (0.250, 0.250, 0.719) [2 per cell]

Theoretical density in g/cm³: 7.2
Energy relative to the elements, uncorrected in eV per atom: -0.82
Total DFT energy (no corrections) in eV/atom: -5.89

=====

# 11
Computed, not measured: an optimized crystal structure of TeMoPt2 at the PBE-GGA level of DFT.

a = 6.404 Å, b = 6.404 Å, c = 9.530 Å
α = 90.00°, β = 90.00°, γ = 90.00°
Space group I-42d (No. 122)
Inequivalent atoms, fractional coordinates:
Te (0.000, 0.000, 0.000) [4 per cell]
Mo (0.000, 0.000, 0.500) [4 per cell]
Pt (0.223, 0.250, 0.625) [8 per cell]

Theoretical density in g/cm³: 10.4
Energy relative to the elements, uncorrected in eV per atom: 0.43
Total DFT energy (no corrections) in eV/atom: -6.08

=====

# 12
Computed, not measured: an optimized crystal structure of GdZrCd2 at the PBE-GGA level of DFT.

a = 3.614 Å, b = 3.614 Å, c = 7.433 Å
α = 90.00°, β = 90.00°, γ = 90.00°
Space group P4/mmm (No. 123)
Inequivalent atoms, fractional coordinates:
Gd (0.000, 0.000, 0.000) [1 per cell]
Zr (0.000, 0.000, 0.500) [1 per cell]
Cd (0.500, 0.500, 0.272) [2 per cell]

Theoretical density in g/cm³: 8.1
Excess energy over the best structure of this formula in the dataset in meV per atom: 0
Formation energy from the elements in meV per atom: -171.3
Total DFT energy (no corrections) in eV/atom: -6.29

=====

For reference, D(E_F) by record: 23.4; 7.3; 6.9; 4.7; 27.1; 10.6; 17.9; 3.3; 1.7; 4.6; 12.5; 2.9 states/eV/cell.